La5Tb4Nd3: optimized geometry, PBE.

Values from the calculation:
- magnetization (μB/atom) = 0.000
- volume (Å³ per cell) = 944
- calculated formation energy (eV/atom) = 0.4603
- density (g/cm³) = 6.2
- DOS at the Fermi energy (states/eV per cell) = 35.91
- crystal system = monoclinic

CIF file:
```
data_La5Tb4Nd3
_cell_length_a 17.5264
_cell_length_b 5.7555
_cell_length_c 12.2366
_cell_angle_alpha 90.00
_cell_angle_beta 130.09
_cell_angle_gamma 90.00
_symmetry_space_group_name_H-M 'C 1 2/m 1'
_symmetry_Int_Tables_number 12
loop_
_symmetry_equiv_pos_as_xyz
'x,y,z'
'-x,-y,-z'
'-x,y,-z'
'x,-y,z'
'x+1/2,y+1/2,z'
'-x+1/2,-y+1/2,-z'
'-x+1/2,y+1/2,-z'
'x+1/2,-y+1/2,z'
loop_
_atom_site_label
_atom_site_type_symbol
_atom_site_fract_x
_atom_site_fract_y
_atom_site_fract_z
La1 La 0.0000 0.0000 0.0000
La2 La 0.0468 0.5000 0.6654
La3 La 0.1504 0.5000 0.3840
Tb1 Tb 0.0456 0.0000 0.8048
Tb2 Tb 0.1170 0.0000 0.5619
Nd1 Nd 0.0000 0.5000 0.0000
Nd2 Nd 0.2149 0.0000 0.2499
```

La2Tb4Nd5: optimized geometry, PBE.

Values from the calculation:
- magnetization (μB/atom) = 0.000
- distance to the lowest polymorph of the same formula (meV per atom) = 0.0
- volume (Å³ per cell) = 763
- calculated formation energy (eV/atom) = 0.0643
- density (g/cm³) = 7.1
- DOS at the Fermi energy (states/eV per cell) = 31.89
- crystal system = monoclinic

CIF file:
```
data_La2Tb4Nd5
_cell_length_a 18.0176
_cell_length_b 3.5817
_cell_length_c 11.8521
_cell_angle_alpha 90.00
_cell_angle_beta 94.13
_cell_angle_gamma 90.00
_symmetry_space_group_name_H-M 'C 1 2/m 1'
_symmetry_Int_Tables_number 12
loop_
_symmetry_equiv_pos_as_xyz
'x,y,z'
'-x,-y,-z'
'-x,y,-z'
'x,-y,z'
'x+1/2,y+1/2,z'
'-x+1/2,-y+1/2,-z'
'-x+1/2,y+1/2,-z'
'x+1/2,-y+1/2,z'
loop_
_atom_site_label
_atom_site_type_symbol
_atom_site_fract_x
_atom_site_fract_y
_atom_site_fract_z
La1 La 0.2179 0.0000 0.3550
Tb1 Tb 0.0313 0.5000 0.2582
Tb2 Tb 0.1394 0.0000 0.7994
Nd1 Nd 0.0000 0.0000 0.0000
Nd2 Nd 0.0949 0.5000 0.5368
Nd3 Nd 0.1760 0.5000 0.0696
```

LaTbNd2: optimized geometry, PBE.

Values from the calculation:
- magnetization (μB/atom) = 0.369
- distance to the lowest polymorph of the same formula (meV per atom) = 127.3
- volume (Å³ per cell) = 563
- calculated formation energy (eV/atom) = 0.1436
- density (g/cm³) = 6.9
- DOS at the Fermi energy (states/eV per cell) = 37.84
- crystal system = cubic

CIF file:
```
data_LaTbNd2
_cell_length_a 8.2593
_cell_length_b 8.2593
_cell_length_c 8.2593
_cell_angle_alpha 90.00
_cell_angle_beta 90.00
_cell_angle_gamma 90.00
_symmetry_space_group_name_H-M 'F m -3 m'
_symmetry_Int_Tables_number 225
_symmetry_space_group_name_Hall '-F 4 2 3'
loop_
_atom_site_label
_atom_site_type_symbol
_atom_site_fract_x
_atom_site_fract_y
_atom_site_fract_z
La1 La 0.0000 0.0000 0.0000
Tb1 Tb 0.0000 0.0000 0.5000
Nd1 Nd 0.2500 0.2500 0.2500
```

LaTbNd2: optimized geometry, PBE.

Values from the calculation:
- magnetization (μB/atom) = 0.000
- distance to the lowest polymorph of the same formula (meV per atom) = 0.1
- volume (Å³ per cell) = 139
- calculated formation energy (eV/atom) = 0.0163
- density (g/cm³) = 7.0
- DOS at the Fermi energy (states/eV per cell) = 6.82
- crystal system = tetragonal

CIF file:
```
data_LaTbNd2
_cell_length_a 5.1674
_cell_length_b 5.1674
_cell_length_c 5.2165
_cell_angle_alpha 90.00
_cell_angle_beta 90.00
_cell_angle_gamma 90.00
_symmetry_space_group_name_H-M 'P 4/m m m'
_symmetry_Int_Tables_number 123
_symmetry_space_group_name_Hall '-P 4 2'
loop_
_atom_site_label
_atom_site_type_symbol
_atom_site_fract_x
_atom_site_fract_y
_atom_site_fract_z
La1 La 0.0000 0.0000 0.0000
Tb1 Tb 0.5000 0.5000 0.0000
Nd1 Nd 0.0000 0.5000 0.5000
```

La2Tb7Nd: optimized geometry, PBE.

Values from the calculation:
- magnetization (μB/atom) = 0.000
- distance to the lowest polymorph of the same formula (meV per atom) = 0.0
- volume (Å³ per cell) = 333
- calculated formation energy (eV/atom) = 0.0467
- density (g/cm³) = 7.7
- DOS at the Fermi energy (states/eV per cell) = 13.91
- crystal system = triclinic

CIF file:
```
data_La2Tb7Nd
_cell_length_a 5.7363
_cell_length_b 7.0825
_cell_length_c 8.8605
_cell_angle_alpha 101.62
_cell_angle_beta 108.84
_cell_angle_gamma 90.06
_symmetry_space_group_name_H-M 'P -1'
_symmetry_Int_Tables_number 2
loop_
_symmetry_equiv_pos_as_xyz
'x,y,z'
'-x,-y,-z'
loop_
_atom_site_label
_atom_site_type_symbol
_atom_site_fract_x
_atom_site_fract_y
_atom_site_fract_z
La1 La 0.2142 0.3505 0.4283
Tb1 Tb 0.0000 0.0000 0.0000
Tb2 Tb 0.2093 0.8580 0.4188
Tb3 Tb 0.3991 0.7032 0.7987
Tb4 Tb 0.4037 0.1960 0.8077
Nd1 Nd 0.0000 0.5000 0.0000
```

La8TbNd4: optimized geometry, PBE.

Values from the calculation:
- magnetization (μB/atom) = 0.000
- volume (Å³ per cell) = 1478
- calculated formation energy (eV/atom) = 0.3523
- density (g/cm³) = 6.2
- DOS at the Fermi energy (states/eV per cell) = 82.24
- crystal system = trigonal

CIF file:
```
data_La8TbNd4
_cell_length_a 11.9394
_cell_length_b 11.9394
_cell_length_c 11.9727
_cell_angle_alpha 90.00
_cell_angle_beta 90.00
_cell_angle_gamma 120.00
_symmetry_space_group_name_H-M 'R -3 m'
_symmetry_Int_Tables_number 166
_symmetry_space_group_name_Hall '-R 3 2"'
loop_
_atom_site_label
_atom_site_type_symbol
_atom_site_fract_x
_atom_site_fract_y
_atom_site_fract_z
La1 La 0.0000 0.0000 0.2386
La2 La 0.0017 0.5009 0.6706
Tb1 Tb 0.0000 0.0000 0.5000
Nd1 Nd 0.0000 0.0000 0.0000
Nd2 Nd 0.0000 0.5000 0.0000
```

La6TbNd4: optimized geometry, PBE.

Values from the calculation:
- magnetization (μB/atom) = 0.000
- distance to the lowest polymorph of the same formula (meV per atom) = 161.4
- volume (Å³ per cell) = 811
- calculated formation energy (eV/atom) = 0.2541
- density (g/cm³) = 6.4
- DOS at the Fermi energy (states/eV per cell) = 36.99
- crystal system = tetragonal

CIF file:
```
data_La6TbNd4
_cell_length_a 7.0436
_cell_length_b 7.0436
_cell_length_c 16.3381
_cell_angle_alpha 90.00
_cell_angle_beta 90.00
_cell_angle_gamma 90.00
_symmetry_space_group_name_H-M 'I -4 2 m'
_symmetry_Int_Tables_number 121
_symmetry_space_group_name_Hall 'I -4 2'
loop_
_atom_site_label
_atom_site_type_symbol
_atom_site_fract_x
_atom_site_fract_y
_atom_site_fract_z
La1 La 0.0000 0.5000 0.0000
La2 La 0.1883 0.1883 0.1818
Tb1 Tb 0.0000 0.0000 0.0000
Nd1 Nd 0.1691 0.1691 0.3932
```

LaTb15Nd4: optimized geometry, PBE.

Values from the calculation:
- magnetization (μB/atom) = 0.000
- volume (Å³ per cell) = 657
- calculated formation energy (eV/atom) = 0.0183
- density (g/cm³) = 7.8
- DOS at the Fermi energy (states/eV per cell) = 27.31
- crystal system = tetragonal

CIF file:
```
data_LaTb15Nd4
_cell_length_a 5.0924
_cell_length_b 5.0924
_cell_length_c 25.3463
_cell_angle_alpha 90.00
_cell_angle_beta 90.00
_cell_angle_gamma 90.00
_symmetry_space_group_name_H-M 'P 4/m m m'
_symmetry_Int_Tables_number 123
_symmetry_space_group_name_Hall '-P 4 2'
loop_
_atom_site_label
_atom_site_type_symbol
_atom_site_fract_x
_atom_site_fract_y
_atom_site_fract_z
La1 La 0.0000 0.0000 0.0000
Tb1 Tb 0.0000 0.5000 0.1009
Tb2 Tb 0.0000 0.5000 0.3003
Tb3 Tb 0.0000 0.5000 0.5000
Tb4 Tb 0.5000 0.5000 0.0000
Tb5 Tb 0.5000 0.5000 0.2007
Tb6 Tb 0.5000 0.5000 0.4001
Nd1 Nd 0.0000 0.0000 0.2000
Nd2 Nd 0.0000 0.0000 0.4002
```

La4Tb2Nd: optimized geometry, PBE.

Values from the calculation:
- magnetization (μB/atom) = 0.000
- distance to the lowest polymorph of the same formula (meV per atom) = 0.0
- volume (Å³ per cell) = 994
- calculated formation energy (eV/atom) = 0.0679
- density (g/cm³) = 6.8
- DOS at the Fermi energy (states/eV per cell) = 50.21
- crystal system = monoclinic

CIF file:
```
data_La4Tb2Nd
_cell_length_a 6.5720
_cell_length_b 24.7323
_cell_length_c 6.9193
_cell_angle_alpha 90.00
_cell_angle_beta 117.87
_cell_angle_gamma 90.00
_symmetry_space_group_name_H-M 'C 1 c 1'
_symmetry_Int_Tables_number 9
loop_
_symmetry_equiv_pos_as_xyz
'x,y,z'
'x,-y,z+1/2'
'x+1/2,y+1/2,z'
'x+1/2,-y+1/2,z+1/2'
loop_
_atom_site_label
_atom_site_type_symbol
_atom_site_fract_x
_atom_site_fract_y
_atom_site_fract_z
La1 La 0.0000 0.0192 0.0000
La2 La 0.0874 0.3034 0.2166
La3 La 0.1243 0.2673 0.7514
La4 La 0.4978 0.0515 0.5402
Tb1 Tb 0.0595 0.4072 0.5803
Tb2 Tb 0.1077 0.1588 0.1721
Nd1 Nd 0.0327 0.1244 0.6242
```

La6TbNd4: optimized geometry, PBE.

Values from the calculation:
- magnetization (μB/atom) = 0.000
- distance to the lowest polymorph of the same formula (meV per atom) = 0.0
- volume (Å³ per cell) = 1581
- calculated formation energy (eV/atom) = 0.0926
- density (g/cm³) = 6.6
- DOS at the Fermi energy (states/eV per cell) = 70.88
- crystal system = orthorhombic

CIF file:
```
data_La6TbNd4
_cell_length_a 6.0516
_cell_length_b 9.9139
_cell_length_c 26.3495
_cell_angle_alpha 90.00
_cell_angle_beta 90.00
_cell_angle_gamma 90.00
_symmetry_space_group_name_H-M 'C m c m'
_symmetry_Int_Tables_number 63
_symmetry_space_group_name_Hall '-C 2c 2'
loop_
_atom_site_label
_atom_site_type_symbol
_atom_site_fract_x
_atom_site_fract_y
_atom_site_fract_z
La1 La 0.0000 0.0000 0.0000
La2 La 0.0000 0.0613 0.2500
La3 La 0.0000 0.2928 0.6032
La4 La 0.0000 0.3863 0.1836
Tb1 Tb 0.0000 0.2802 0.7500
Nd1 Nd 0.0000 0.0557 0.1243
Nd2 Nd 0.0000 0.3528 0.0447
```

La2Tb2Nd3: optimized geometry, PBE.

Values from the calculation:
- magnetization (μB/atom) = 0.000
- distance to the lowest polymorph of the same formula (meV per atom) = 0.0
- volume (Å³ per cell) = 488
- calculated formation energy (eV/atom) = 0.0161
- density (g/cm³) = 7.0
- DOS at the Fermi energy (states/eV per cell) = 21.85
- crystal system = monoclinic

CIF file:
```
data_La2Tb2Nd3
_cell_length_a 12.0881
_cell_length_b 3.6783
_cell_length_c 11.0215
_cell_angle_alpha 90.00
_cell_angle_beta 95.66
_cell_angle_gamma 90.00
_symmetry_space_group_name_H-M 'C 1 2/m 1'
_symmetry_Int_Tables_number 12
loop_
_symmetry_equiv_pos_as_xyz
'x,y,z'
'-x,-y,-z'
'-x,y,-z'
'x,-y,z'
'x+1/2,y+1/2,z'
'-x+1/2,-y+1/2,-z'
'-x+1/2,y+1/2,-z'
'x+1/2,-y+1/2,z'
loop_
_atom_site_label
_atom_site_type_symbol
_atom_site_fract_x
_atom_site_fract_y
_atom_site_fract_z
La1 La 0.2156 0.0000 0.3553
Tb1 Tb 0.0700 0.0000 0.7882
Nd1 Nd 0.0000 0.5000 0.5000
Nd2 Nd 0.1427 0.5000 0.0700
```

La5TbNd4: optimized geometry, PBE.

Values from the calculation:
- magnetization (μB/atom) = 0.000
- distance to the lowest polymorph of the same formula (meV per atom) = 0.0
- volume (Å³ per cell) = 738
- calculated formation energy (eV/atom) = 0.1479
- density (g/cm³) = 6.4
- DOS at the Fermi energy (states/eV per cell) = 30.95
- crystal system = monoclinic

CIF file:
```
data_La5TbNd4
_cell_length_a 17.8603
_cell_length_b 3.6517
_cell_length_c 11.3158
_cell_angle_alpha 90.00
_cell_angle_beta 90.48
_cell_angle_gamma 90.00
_symmetry_space_group_name_H-M 'C 1 2/m 1'
_symmetry_Int_Tables_number 12
loop_
_symmetry_equiv_pos_as_xyz
'x,y,z'
'-x,-y,-z'
'-x,y,-z'
'x,-y,z'
'x+1/2,y+1/2,z'
'-x+1/2,-y+1/2,-z'
'-x+1/2,y+1/2,-z'
'x+1/2,-y+1/2,z'
loop_
_atom_site_label
_atom_site_type_symbol
_atom_site_fract_x
_atom_site_fract_y
_atom_site_fract_z
La1 La 0.0000 0.0000 0.0000
La2 La 0.1734 0.5000 0.5549
La3 La 0.1740 0.5000 0.9405
Tb1 Tb 0.0000 0.0000 0.5000
Nd1 Nd 0.0282 0.5000 0.7479
Nd2 Nd 0.1506 0.0000 0.2488
```

> Which value of calculated formation energy does entry 2 give?

0.0643 eV/atom